# 1
Computed, not measured: an optimized crystal structure of Pr5Dy4Ho2 at the PBE-GGA level of DFT.

Computed properties:
Energy of formation from the pure elements (meV per atom): 198
M_tot (Bohr magnetons per cell): 0.00
Space group: Immm, No. 71
Energy above the most stable polymorph in this dataset (eV/atom): 0.122

abc: 3.5397 9.2169 12.8227
angles: 111.06 97.93 90.00
Closest atoms and distances in Å follow each position.
Atoms (fractional coordinates):
Dy 0.0000 0.6874 0.0000  7 Dy 3.37-3.54, 4 Pr 3.38-3.63
Pr 0.8526 0.0545 0.7052  3 Ho 3.45-3.81, 3 Dy 3.48-3.63, 3 Pr 3.54-3.72
Dy 0.5966 0.5966 0.1931  1 Ho 3.16, 4 Dy 3.37, 4 Pr 3.48
Pr 0.1474 0.9455 0.2948  3 Ho 3.45-3.81, 3 Dy 3.48-3.63, 3 Pr 3.54-3.72
Pr 0.8526 0.6507 0.7052  3 Ho 3.45-3.81, 3 Dy 3.48-3.63, 3 Pr 3.54-3.72
Ho 0.7301 0.7301 0.4601  1 Dy 3.16, 2 Pr 3.45
Pr 0.1474 0.3493 0.2948  3 Ho 3.45-3.81, 3 Dy 3.48-3.63, 3 Pr 3.54-3.72
Dy 0.0000 0.3126 0.0000  7 Dy 3.37-3.54, 4 Pr 3.38-3.63
Pr 0.5000 0.0000 0.0000  4 Dy 3.38, 2 Pr 3.54
Dy 0.4034 0.4034 0.8069  1 Ho 3.16, 4 Dy 3.37, 4 Pr 3.48
Ho 0.2699 0.2699 0.5399  1 Dy 3.16, 2 Pr 3.45



# 2
Computed, not measured: an optimized crystal structure of Pr5Dy2Ho5 at the PBE-GGA level of DFT.

Computed properties:
Energy of formation from the pure elements (meV per atom): 21
M_tot (Bohr magnetons per cell): 0.00
Space group: C2/m, No. 12

abc: 5.0886 8.0617 10.8365
angles: 72.78 76.42 71.60
Closest atoms and distances in Å follow each position.
Atoms (fractional coordinates):
Pr 0.7495 0.2532 0.2479  6 Ho 3.58-3.63, 2 Dy 3.60, 4 Pr 3.61-3.65
Dy 0.0833 0.5864 0.2471  7 Ho 3.57-3.63, 5 Pr 3.58-3.64
Ho 0.4187 0.9141 0.2485  2 Dy 3.57, 3 Ho 3.59-3.62, 7 Pr 3.60-3.67
Ho 0.3328 0.3342 0.0003  5 Pr 3.58-3.61, 4 Ho 3.59-3.62, 3 Dy 3.59
Pr 0.1642 0.1699 0.5017  5 Ho 3.58-3.67, 2 Dy 3.59-3.64, 5 Pr 3.63-3.65
Ho 0.6672 0.6658 0.9997  5 Pr 3.58-3.61, 4 Ho 3.59-3.62, 3 Dy 3.59
Ho 0.5813 0.0859 0.7515  2 Dy 3.57, 3 Ho 3.59-3.62, 7 Pr 3.60-3.67
Dy 0.9167 0.4136 0.7529  7 Ho 3.57-3.63, 5 Pr 3.58-3.64
Pr 0.8358 0.8301 0.4983  5 Ho 3.58-3.67, 2 Dy 3.59-3.64, 5 Pr 3.63-3.65
Pr 0.2505 0.7468 0.7521  6 Ho 3.58-3.63, 2 Dy 3.60, 4 Pr 3.61-3.65
Pr 0.0000 0.0000 0.0000  2 Dy 3.58, 8 Ho 3.60-3.61, 2 Pr 3.61
Ho 0.5000 0.5000 0.5000  6 Pr 3.58-3.61, 2 Ho 3.61, 4 Dy 3.63



# 3
Computed, not measured: an optimized crystal structure of Pr2Dy3Ho9 at the PBE-GGA level of DFT.

Computed properties:
Energy of formation from the pure elements (meV per atom): 19
M_tot (Bohr magnetons per cell): 0.00
Space group: P1, No. 1

abc: 6.1629 13.7900 12.8178
angles: 41.15 43.83 41.75
Closest atoms and distances in Å follow each position.
Atoms (fractional coordinates):
Dy 0.2525 0.0690 0.8230  8 Ho 3.53-3.58, 2 Dy 3.54-3.57, 2 Pr 3.56
Ho 0.1835 0.4283 0.2472  8 Ho 3.50-3.58, 2 Dy 3.55-3.57, 2 Pr 3.58
Ho 0.5378 0.6419 0.1066  8 Ho 3.53-3.58, 3 Dy 3.54-3.55, 1 Pr 3.57
Dy 0.8227 0.2141 0.3918  9 Ho 3.53-3.57, 2 Dy 3.55-3.57, 1 Pr 3.57
Ho 0.7451 0.5715 0.8244  8 Ho 3.50-3.58, 2 Dy 3.55-3.57, 2 Pr 3.58
Ho 0.8966 0.8561 0.9633  7 Ho 3.52-3.59, 3 Dy 3.54-3.55, 2 Pr 3.55
Ho 0.0321 0.1437 0.1083  8 Ho 3.52-3.59, 2 Dy 3.53-3.56, 2 Pr 3.54-3.56
Ho 0.4644 0.9999 0.5357  5 Ho 3.54-3.56, 2 Pr 3.54-3.55, 5 Dy 3.55-3.56
Pr 0.3196 0.7160 0.3919  10 Ho 3.54-3.58, 1 Dy 3.56, 1 Pr 3.58
Ho 0.9642 0.5002 0.5356  5 Ho 3.55-3.58, 3 Dy 3.56-3.57, 4 Pr 3.56-3.57
Ho 0.6759 0.9311 0.2486  3 Dy 3.53-3.56, 7 Ho 3.54-3.58, 2 Pr 3.56
Ho 0.3906 0.3581 0.9649  8 Ho 3.52-3.56, 3 Dy 3.54-3.58, 1 Pr 3.57
Pr 0.6089 0.2841 0.6795  8 Ho 3.55-3.58, 3 Dy 3.56-3.57, 1 Pr 3.58
Dy 0.1062 0.7860 0.6793  9 Ho 3.54-3.57, 2 Dy 3.54-3.55, 1 Pr 3.56



# 4
Computed, not measured: an optimized crystal structure of Pr2DyHo at the PBE-GGA level of DFT.

Computed properties:
Energy of formation from the pure elements (meV per atom): 22
M_tot (Bohr magnetons per cell): 0.00
Space group: R3m, No. 160
Energy above the most stable polymorph in this dataset (eV/atom): 0.009

abc: 3.6387 3.6387 11.9388
angles: 81.23 81.23 60.00
Closest atoms and distances in Å follow each position.
Atoms (fractional coordinates):
Dy 0.4996 0.4996 0.5011  6 Pr 3.60-3.62, 6 Dy 3.64
Pr 0.2497 0.2497 0.2508  3 Dy 3.62, 3 Ho 3.64, 6 Pr 3.64
Pr 0.0833 0.0833 0.7501  3 Ho 3.59, 3 Dy 3.60, 6 Pr 3.64
Ho 0.6673 0.6673 0.9980  6 Pr 3.59-3.64, 6 Ho 3.64